(1)
Below is a relaxed structure of CaScCuPd, with properties calculated at the PBE level.

Structure (CIF):
```
data_CaScCuPd
_cell_length_a 6.8097
_cell_length_b 6.8097
_cell_length_c 6.8097
_cell_angle_alpha 90.00
_cell_angle_beta 90.00
_cell_angle_gamma 90.00
_space_group_name_H-M_alt 'F -4 3 m'
_space_group_IT_number 216
_space_group_name_Hall 'F -4 2 3'
loop_
_atom_site_label
_atom_site_fract_x
_atom_site_fract_y
_atom_site_fract_z
_atom_site_occupancy
Ca1 0.0000 0.0000 0.0000 1
Sc1 0.0000 0.0000 0.5000 1
Cu1 0.2500 0.2500 0.2500 1
Pd1 0.2500 0.2500 0.7500 1
```

The crystal system is cubic. The spin magnetization comes out at 0.0 Bohr magnetons per cell. The calculation puts the electronic total energy at -0.3540 Ry/atom.

(2)
Below is a relaxed structure of Ca2CuSiPd6, with properties calculated at the PBE level.

Structure (CIF):
```
data_Ca2CuSiPd6
_cell_length_a 9.2974
_cell_length_b 9.2974
_cell_length_c 9.2974
_cell_angle_alpha 90.00
_cell_angle_beta 90.00
_cell_angle_gamma 90.00
_space_group_name_H-M_alt 'F m -3 m'
_space_group_IT_number 225
_space_group_name_Hall '-F 4 2 3'
loop_
_atom_site_label
_atom_site_fract_x
_atom_site_fract_y
_atom_site_fract_z
_atom_site_occupancy
Ca1 0.2500 0.2500 0.2500 1
Cu1 0.0000 0.0000 0.0000 1
Si1 0.0000 0.0000 0.5000 1
Pd1 0.0000 0.0000 0.2577 1
```

As for the uncorrected formation energy: -3.6 eV/f.u. The crystal system is cubic. The spin magnetization comes out at 0.0 Bohr magnetons per cell. The calculation puts the electronic total energy at -0.3548 Ry/atom.

(3)
Below is a relaxed structure of Ca2Cu4Si3Pd, with properties calculated at the PBE level.

Structure (CIF):
```
data_Ca2Cu4Si3Pd
_cell_length_a 4.0505
_cell_length_b 4.0505
_cell_length_c 10.1912
_cell_angle_alpha 90.00
_cell_angle_beta 90.00
_cell_angle_gamma 90.00
_space_group_name_H-M_alt 'P -4 m 2'
_space_group_IT_number 115
loop_
_space_group_symop_operation_xyz
'x,y,z'
'y,-x,-z'
'-x,-y,z'
'-y,x,-z'
'-x,y,z'
'-y,-x,-z'
'x,-y,z'
'y,x,-z'
loop_
_atom_site_label
_atom_site_fract_x
_atom_site_fract_y
_atom_site_fract_z
_atom_site_occupancy
Ca1 0.0000 0.5000 0.2443 1
Cu1 0.0000 0.0000 0.0000 1
Cu2 0.0000 0.5000 0.6455 1
Cu3 0.5000 0.5000 0.0000 1
Si1 0.0000 0.5000 0.8741 1
Si2 0.5000 0.5000 0.5000 1
Pd1 0.0000 0.0000 0.5000 1
```

As for the uncorrected formation energy: -3.6 eV/f.u. The crystal system is tetragonal. The spin magnetization comes out at 0.0 Bohr magnetons per cell. The calculation puts the electronic total energy at -0.3343 Ry/atom.

(4)
Below is a relaxed structure of Ca2CuSi4Pd3, with properties calculated at the PBE level.

Structure (CIF):
```
data_Ca2CuSi4Pd3
_cell_length_a 4.1496
_cell_length_b 4.1496
_cell_length_c 10.1833
_cell_angle_alpha 90.00
_cell_angle_beta 90.00
_cell_angle_gamma 90.00
_space_group_name_H-M_alt 'P -4 m 2'
_space_group_IT_number 115
loop_
_space_group_symop_operation_xyz
'x,y,z'
'y,-x,-z'
'-x,-y,z'
'-y,x,-z'
'-x,y,z'
'-y,-x,-z'
'x,-y,z'
'y,x,-z'
loop_
_atom_site_label
_atom_site_fract_x
_atom_site_fract_y
_atom_site_fract_z
_atom_site_occupancy
Ca1 0.0000 0.5000 0.2484 1
Cu1 0.5000 0.5000 0.0000 1
Si1 0.0000 0.0000 0.5000 1
Si2 0.0000 0.5000 0.8730 1
Si3 0.5000 0.5000 0.5000 1
Pd1 0.0000 0.0000 0.0000 1
Pd2 0.0000 0.5000 0.6303 1
```

As for the uncorrected formation energy: -6.4 eV/f.u. The crystal system is tetragonal. The spin magnetization comes out at 0.0 Bohr magnetons per cell. The calculation puts the electronic total energy at -0.3807 Ry/atom.

(5)
Below is a relaxed structure of CaCuSi2Pd, with properties calculated at the PBE level.

Structure (CIF):
```
data_CaCuSi2Pd
_cell_length_a 4.1605
_cell_length_b 4.1605
_cell_length_c 9.8943
_cell_angle_alpha 90.00
_cell_angle_beta 90.00
_cell_angle_gamma 90.00
_space_group_name_H-M_alt 'I -4 m 2'
_space_group_IT_number 119
_space_group_name_Hall 'I -4 -2'
loop_
_atom_site_label
_atom_site_fract_x
_atom_site_fract_y
_atom_site_fract_z
_atom_site_occupancy
Ca1 0.0000 0.0000 0.0000 1
Cu1 0.0000 0.5000 0.7500 1
Si1 0.0000 0.0000 0.3799 1
Pd1 0.0000 0.5000 0.2500 1
```

As for the uncorrected formation energy: -3.0 eV/f.u. The crystal system is tetragonal. The spin magnetization comes out at 0.0 Bohr magnetons per cell. The calculation puts the electronic total energy at -0.3688 Ry/atom.

(6)
Below is a relaxed structure of CaCuSiPd, with properties calculated at the PBE level.

Structure (CIF):
```
data_CaCuSiPd
_cell_length_a 4.2336
_cell_length_b 3.6250
_cell_length_c 9.6937
_cell_angle_alpha 90.00
_cell_angle_beta 90.00
_cell_angle_gamma 90.00
_space_group_name_H-M_alt 'A m m 2'
_space_group_IT_number 38
loop_
_space_group_symop_operation_xyz
'x,y,z'
'-x,-y,z'
'-x,y,z'
'x,-y,z'
'x,y+1/2,z+1/2'
'-x,-y+1/2,z+1/2'
'-x,y+1/2,z+1/2'
'x,-y+1/2,z+1/2'
loop_
_atom_site_label
_atom_site_fract_x
_atom_site_fract_y
_atom_site_fract_z
_atom_site_occupancy
Ca1 0.0000 0.0000 0.0000 1
Cu1 0.0000 0.0000 0.7262 1
Si1 0.5000 0.0000 0.6354 1
Pd1 0.5000 0.0000 0.3069 1
```

As for the uncorrected formation energy: -1.4 eV/f.u. The crystal system is orthorhombic. The spin magnetization comes out at 0.0 Bohr magnetons per cell. The calculation puts the electronic total energy at -0.3324 Ry/atom.

(7)
Below is a relaxed structure of Ca2CuSn4Pd3, with properties calculated at the PBE level.

Structure (CIF):
```
data_Ca2CuSn4Pd3
_cell_length_a 4.5104
_cell_length_b 4.5104
_cell_length_c 11.1318
_cell_angle_alpha 90.00
_cell_angle_beta 90.00
_cell_angle_gamma 90.00
_space_group_name_H-M_alt 'P -4 m 2'
_space_group_IT_number 115
loop_
_space_group_symop_operation_xyz
'x,y,z'
'y,-x,-z'
'-x,-y,z'
'-y,x,-z'
'-x,y,z'
'-y,-x,-z'
'x,-y,z'
'y,x,-z'
loop_
_atom_site_label
_atom_site_fract_x
_atom_site_fract_y
_atom_site_fract_z
_atom_site_occupancy
Ca1 0.0000 0.5000 0.2408 1
Cu1 0.5000 0.5000 0.0000 1
Sn1 0.0000 0.0000 0.5000 1
Sn2 0.0000 0.5000 0.8748 1
Sn3 0.5000 0.5000 0.5000 1
Pd1 0.0000 0.0000 0.0000 1
Pd2 0.0000 0.5000 0.6375 1
```

The crystal system is tetragonal. The spin magnetization comes out at 0.0 Bohr magnetons per cell. The calculation puts the electronic total energy at -0.3342 Ry/atom.

(8)
Below is a relaxed structure of Ca2CuSn2Pd5, with properties calculated at the PBE level.

Structure (CIF):
```
data_Ca2CuSn2Pd5
_cell_length_a 10.6877
_cell_length_b 10.6877
_cell_length_c 3.4455
_cell_angle_alpha 90.00
_cell_angle_beta 90.00
_cell_angle_gamma 90.00
_space_group_name_H-M_alt 'P 4/m b m'
_space_group_IT_number 127
_space_group_name_Hall '-P 4 2ab'
loop_
_atom_site_label
_atom_site_fract_x
_atom_site_fract_y
_atom_site_fract_z
_atom_site_occupancy
Ca1 0.1671 0.3329 0.0000 1
Cu1 0.0000 0.0000 0.0000 1
Sn1 0.1369 0.6369 0.0000 1
Pd1 0.0000 0.5000 0.5000 1
Pd2 0.0532 0.8148 0.5000 1
```

The crystal system is tetragonal. The spin magnetization comes out at 0.0 Bohr magnetons per cell. The calculation puts the electronic total energy at -0.3454 Ry/atom.

(9)
Below is a relaxed structure of Ca2Cu5SnPd2, with properties calculated at the PBE level.

Structure (CIF):
```
data_Ca2Cu5SnPd2
_cell_length_a 9.4084
_cell_length_b 9.4084
_cell_length_c 3.9831
_cell_angle_alpha 90.00
_cell_angle_beta 90.00
_cell_angle_gamma 90.00
_space_group_name_H-M_alt 'P 4/m b m'
_space_group_IT_number 127
_space_group_name_Hall '-P 4 2ab'
loop_
_atom_site_label
_atom_site_fract_x
_atom_site_fract_y
_atom_site_fract_z
_atom_site_occupancy
Ca1 0.1758 0.3242 0.0000 1
Cu1 0.0000 0.5000 0.5000 1
Cu2 0.0603 0.7941 0.5000 1
Sn1 0.0000 0.0000 0.0000 1
Pd1 0.1207 0.6207 0.0000 1
```

The crystal system is tetragonal. The spin magnetization comes out at 0.0 Bohr magnetons per cell. The calculation puts the electronic total energy at -0.3031 Ry/atom.

(10)
Below is a relaxed structure of Ca2Cu3Sn4Pd, with properties calculated at the PBE level.

Structure (CIF):
```
data_Ca2Cu3Sn4Pd
_cell_length_a 4.5566
_cell_length_b 4.5566
_cell_length_c 10.6379
_cell_angle_alpha 90.00
_cell_angle_beta 90.00
_cell_angle_gamma 90.00
_space_group_name_H-M_alt 'P -4 m 2'
_space_group_IT_number 115
loop_
_space_group_symop_operation_xyz
'x,y,z'
'y,-x,-z'
'-x,-y,z'
'-y,x,-z'
'-x,y,z'
'-y,-x,-z'
'x,-y,z'
'y,x,-z'
loop_
_atom_site_label
_atom_site_fract_x
_atom_site_fract_y
_atom_site_fract_z
_atom_site_occupancy
Ca1 0.0000 0.5000 0.2383 1
Cu1 0.0000 0.0000 0.0000 1
Cu2 0.0000 0.5000 0.6325 1
Sn1 0.0000 0.0000 0.5000 1
Sn2 0.0000 0.5000 0.8713 1
Sn3 0.5000 0.5000 0.5000 1
Pd1 0.5000 0.5000 0.0000 1
```

The crystal system is tetragonal. The spin magnetization comes out at 0.0 Bohr magnetons per cell. The calculation puts the electronic total energy at -0.3035 Ry/atom.

(11)
Below is a relaxed structure of CaCuSn2Pd4, with properties calculated at the PBE level.

Structure (CIF):
```
data_CaCuSn2Pd4
_cell_length_a 4.5873
_cell_length_b 4.5873
_cell_length_c 23.9172
_cell_angle_alpha 90.00
_cell_angle_beta 90.00
_cell_angle_gamma 120.00
_space_group_name_H-M_alt 'R -3 m'
_space_group_IT_number 166
_space_group_name_Hall '-R 3 2"'
loop_
_atom_site_label
_atom_site_fract_x
_atom_site_fract_y
_atom_site_fract_z
_atom_site_occupancy
Ca1 0.0000 0.0000 0.0000 1
Cu1 0.0000 0.0000 0.5000 1
Sn1 0.0000 0.0000 0.2447 1
Pd1 0.0000 0.0000 0.1292 1
Pd2 0.0000 0.0000 0.3934 1
```

The crystal system is trigonal. The spin magnetization comes out at 0.0 Bohr magnetons per cell. The calculation puts the electronic total energy at -0.3595 Ry/atom.

(12)
Below is a relaxed structure of SrCaCuPd, with properties calculated at the PBE level.

Structure (CIF):
```
data_SrCaCuPd
_cell_length_a 4.4648
_cell_length_b 4.1382
_cell_length_c 11.2710
_cell_angle_alpha 90.00
_cell_angle_beta 90.00
_cell_angle_gamma 90.00
_space_group_name_H-M_alt 'A m m 2'
_space_group_IT_number 38
loop_
_space_group_symop_operation_xyz
'x,y,z'
'-x,-y,z'
'-x,y,z'
'x,-y,z'
'x,y+1/2,z+1/2'
'-x,-y+1/2,z+1/2'
'-x,y+1/2,z+1/2'
'x,-y+1/2,z+1/2'
loop_
_atom_site_label
_atom_site_fract_x
_atom_site_fract_y
_atom_site_fract_z
_atom_site_occupancy
Sr1 0.0000 0.0000 0.0000 1
Ca1 0.5000 0.0000 0.7201 1
Cu1 0.5000 0.0000 0.4150 1
Pd1 0.0000 0.0000 0.2874 1
```

The value obtained for the energy above the lowest structure with this stoichiometry is 0 meV per atom. The crystal system is orthorhombic. The spin magnetization comes out at 0.0 Bohr magnetons per cell. The calculation puts the electronic total energy at -0.2679 Ry/atom.